An optimized crystal structure of AsOsSBr2, computed with GGA-PBE. Values from VASP.

Quantum ESPRESSO input file:
```
&SYSTEM
  ibrav = 0, nat = 5, ntyp = 4
/
ATOMIC_SPECIES
As 74.92 As.upf
Os 190.23 Os.upf
S 32.06 S.upf
Br 79.90 Br.upf
CELL_PARAMETERS angstrom
5.0241 0.0000 0.0000
0.0000 5.0241 0.0000
0.0000 0.0000 4.7769
ATOMIC_POSITIONS crystal
As 0.0000 0.0000 0.0000
Os 0.0000 0.0000 0.5000
S 0.5000 0.5000 0.0000
Br 0.0000 0.5000 0.5000
Br 0.5000 0.0000 0.5000
```

volume: 120.6 Å³/f.u.
DOS at the Fermi energy: 5.20 states/eV/f.u.
raw total energy: -3.81 eV/atom
energy relative to the lowest polymorph listed for this composition: 0 meV/atom
formation energy (no corrections): 0.86 eV per atom

An optimized crystal structure of TaNb3Al, computed with GGA-PBE. Values from VASP.

Quantum ESPRESSO input file:
```
&SYSTEM
  ibrav = 0, nat = 5, ntyp = 3
/
ATOMIC_SPECIES
Ta 180.95 Ta.upf
Nb 92.91 Nb.upf
Al 26.98 Al.upf
CELL_PARAMETERS angstrom
4.6871 0.0000 0.0000
0.0000 4.6871 0.0000
0.0000 0.0000 4.6871
ATOMIC_POSITIONS crystal
Ta 0.0000 0.0000 0.0000
Nb 0.0000 0.5000 0.5000
Nb 0.5000 0.0000 0.5000
Nb 0.5000 0.5000 0.0000
Al 0.5000 0.5000 0.5000
```

volume: 103.0 Å³/f.u.
DOS at the Fermi energy: 4.88 states/eV/f.u.
raw total energy: -7.99 eV/atom
energy relative to the lowest polymorph listed for this composition: 1276 meV/atom
energy of formation from the pure elements: 113.1 kJ/mol of atoms

An optimized crystal structure of YHg2Pd2, computed with GGA-PBE. Values from VASP.

Quantum ESPRESSO input file:
```
&SYSTEM
  ibrav = 0, nat = 10, ntyp = 3
/
ATOMIC_SPECIES
Y 88.91 Y.upf
Hg 200.59 Hg.upf
Pd 106.42 Pd.upf
CELL_PARAMETERS angstrom
7.3076 0.0000 0.0000
0.0000 7.3076 0.0000
0.0000 0.0000 3.8875
ATOMIC_POSITIONS crystal
Y 0.0000 0.0000 0.0000
Y 0.5000 0.5000 0.0000
Hg 0.1631 0.3369 0.5000
Hg 0.3369 0.8369 0.5000
Hg 0.6631 0.1631 0.5000
Hg 0.8369 0.6631 0.5000
Pd 0.1342 0.6342 0.0000
Pd 0.3658 0.1342 0.0000
Pd 0.6342 0.8658 0.0000
Pd 0.8658 0.3658 0.0000
```

volume: 103.8 Å³/f.u.
DOS at the Fermi energy: 2.64 states/eV/f.u.
raw total energy: -3.92 eV/atom
energy relative to the lowest polymorph listed for this composition: 40 meV/atom
energy of formation from the pure elements: -41.6 kJ/mol of atoms

An optimized crystal structure of Sc3ICl, computed with GGA-PBE. Values from VASP.

Quantum ESPRESSO input file:
```
&SYSTEM
  ibrav = 0, nat = 5, ntyp = 3
/
ATOMIC_SPECIES
Sc 44.96 Sc.upf
I 126.90 I.upf
Cl 35.45 Cl.upf
CELL_PARAMETERS angstrom
4.8855 0.0000 0.0000
0.0000 4.8855 0.0000
0.0000 0.0000 4.8855
ATOMIC_POSITIONS crystal
Sc 0.0000 0.0000 0.5000
Sc 0.0000 0.5000 0.0000
Sc 0.5000 0.0000 0.0000
I 0.5000 0.5000 0.5000
Cl 0.0000 0.0000 0.0000
```

volume: 116.6 Å³/f.u.
DOS at the Fermi energy: 13.98 states/eV/f.u.
raw total energy: -4.63 eV/atom
energy relative to the lowest polymorph listed for this composition: 0 meV/atom
formation energy (no corrections): -0.16 eV per atom

An optimized crystal structure of Rb2NiPb, computed with GGA-PBE. Values from VASP.

Quantum ESPRESSO input file:
```
&SYSTEM
  ibrav = 0, nat = 8, ntyp = 3
/
ATOMIC_SPECIES
Rb 85.47 Rb.upf
Ni 58.69 Ni.upf
Pb 207.20 Pb.upf
CELL_PARAMETERS angstrom
-6.5135 6.5135 2.4820
6.5135 -6.5135 2.4820
6.5135 6.5135 -2.4820
ATOMIC_POSITIONS crystal
Rb 0.3750 0.0700 0.1950
Rb 0.8200 0.6250 0.6950
Rb 0.8750 0.1800 0.8050
Rb 0.9300 0.1250 0.3050
Ni 0.0000 0.0000 0.0000
Ni 0.7500 0.2500 0.5000
Pb 0.2500 0.7500 0.5000
Pb 0.5000 0.5000 0.0000
```

volume: 210.6 Å³/f.u.
DOS at the Fermi energy: 3.97 states/eV/f.u.
raw total energy: -2.64 eV/atom
energy of formation from the pure elements: 20.4 kJ/mol of atoms

An optimized crystal structure of SrLiCrN3, computed with GGA-PBE. Values from VASP.

Quantum ESPRESSO input file:
```
&SYSTEM
  ibrav = 0, nat = 12, ntyp = 4
/
ATOMIC_SPECIES
Sr 87.62 Sr.upf
Li 6.94 Li.upf
Cr 52.00 Cr.upf
N 14.01 N.upf
CELL_PARAMETERS angstrom
2.7546 -5.0440 0.0000
2.7546 5.0440 0.0000
-0.9334 0.0000 5.1798
ATOMIC_POSITIONS crystal
Sr 0.2316 0.7684 0.7500
Sr 0.7684 0.2316 0.2500
Li 0.0681 0.9319 0.2500
Li 0.9319 0.0681 0.7500
Cr 0.4493 0.5507 0.2500
Cr 0.5507 0.4493 0.7500
N 0.2376 0.3071 0.5218
N 0.2806 0.7194 0.2500
N 0.3071 0.2376 0.0218
N 0.6929 0.7624 0.9782
N 0.7194 0.2806 0.7500
N 0.7624 0.6929 0.4782
```

volume: 72.0 Å³/f.u.
DOS at the Fermi energy: 1.02 states/eV/f.u.
raw total energy: -6.98 eV/atom
formation energy (no corrections): -0.62 eV per atom

An optimized crystal structure of AcTlAs2O6, computed with GGA-PBE. Values from VASP.

Quantum ESPRESSO input file:
```
&SYSTEM
  ibrav = 0, nat = 10, ntyp = 4
/
ATOMIC_SPECIES
Ac 227.00 Ac.upf
Tl 204.38 Tl.upf
As 74.92 As.upf
O 16.00 O.upf
CELL_PARAMETERS angstrom
3.0135 1.7399 6.4021
-3.0135 1.7399 6.4021
0.0000 -3.4797 6.4021
ATOMIC_POSITIONS crystal
Ac 0.0000 0.0000 0.0000
Tl 0.5000 0.5000 0.5000
As 0.2286 0.2286 0.2286
As 0.7714 0.7714 0.7714
O 0.0104 0.5508 0.2115
O 0.2115 0.0104 0.5508
O 0.4492 0.7885 0.9896
O 0.5508 0.2115 0.0104
O 0.7885 0.9896 0.4492
O 0.9896 0.4492 0.7885
```

volume: 201.4 Å³/f.u.
DOS at the Fermi energy: 0.15 states/eV/f.u.
raw total energy: -6.15 eV/atom
formation energy (no corrections): -1.59 eV per atom

An optimized crystal structure of Ba2AuS, computed with GGA-PBE. Values from VASP.

Quantum ESPRESSO input file:
```
&SYSTEM
  ibrav = 0, nat = 4, ntyp = 3
/
ATOMIC_SPECIES
Ba 137.33 Ba.upf
Au 196.97 Au.upf
S 32.06 S.upf
CELL_PARAMETERS angstrom
3.9838 0.0000 0.0000
0.0000 3.9838 0.0000
0.0000 0.0000 7.8350
ATOMIC_POSITIONS crystal
Ba 0.0000 0.0000 0.2358
Ba 0.0000 0.0000 0.7642
Au 0.5000 0.5000 0.5000
S 0.5000 0.5000 0.0000
```

volume: 124.3 Å³/f.u.
DOS at the Fermi energy: 2.29 states/eV/f.u.
raw total energy: -4.03 eV/atom
formation energy (no corrections): -1.22 eV per atom